# Sm3Cd4Ag2 | the Alexandria database | PBE | optimized geometry
data_Sm3Cd4Ag2
_chemical_formula_sum 'Sm6 Cd8 Ag4'
_space_group_name_H-M_alt 'C 1 2/m 1'
_space_group_IT_number 12
_space_group_name_Hall '-C 2y'
_cell_length_a 9.437
_cell_length_b 5.226
_cell_length_c 9.130
_cell_angle_alpha 90.00
_cell_angle_beta 97.17
_cell_angle_gamma 90.00
loop_
_atom_site_label
_atom_site_fract_x
_atom_site_fract_y
_atom_site_fract_z
Sm1 0.000 0.000 0.000
Sm2 0.125 0.500 0.723
Cd1 0.057 0.000 0.359
Cd2 0.182 0.500 0.083
Ag1 0.222 0.500 0.396
# * magnetization: 0.000 μB/atom
# * DFT formation energy: -274 meV/atom
# * excess energy over the best structure of this formula in the dataset: 0.364 eV per formula unit
# * VASP energy: -2.89 eV/atom